Entry 1:
# BaAlSi3

A relaxed BaAlSi3 crystal (PBE, Alexandria).

Cell: 4.9408 4.9408 4.9408 Å, 90.00 90.00 90.00°
Last column: nearest neighbours and their distance in Å.
Space group Pm-3m (No. 221)
Unique sites:
Ba 0.0000 0.0000 0.0000 x1  12 Si 3.49
Al 0.5000 0.5000 0.5000 x1  6 Si 2.47
Si 0.0000 0.5000 0.5000 x3  2 Al 2.47

Computed properties:
Total DFT energy (no corrections), eV per atom: -4.0831
Formation energy from raw total energies, meV/atom: 304

Entry 2:
# Tb14YPu

A relaxed Tb14YPu crystal (PBE, Alexandria).

Cell: 7.1126 7.1126 10.0053 Å, 90.00 90.00 90.00°
Last column: nearest neighbours and their distance in Å.
Space group P4/mmm (No. 123)
Unique sites:
Tb 0.0000 0.0000 0.0000 x1  12 Tb 3.55-3.56
Tb 0.0000 0.5000 0.0000 x2  12 Tb 3.56
Tb 0.0000 0.5000 0.5000 x2  8 Tb 3.53, 2 Pu 3.56, 2 Y 3.56
Tb 0.2482 0.2482 0.2519 x8  1 Pu 3.52, 10 Tb 3.53-3.58, 1 Y 3.55
Tb 0.5000 0.5000 0.0000 x1  12 Tb 3.56-3.57
Y 0.5000 0.5000 0.5000 x1  12 Tb 3.55-3.56
Pu 0.0000 0.0000 0.5000 x1  12 Tb 3.52-3.56

Computed properties:
Total DFT energy (no corrections), eV per atom: -5.3154
Calculated formation energy, eV per atom: 0.04

Entry 3:
# Pr4Ho4Tm5

A relaxed Pr4Ho4Tm5 crystal (PBE, Alexandria).

Cell: 12.8882 12.8882 5.0350 Å, 90.00 90.00 90.00°
Last column: nearest neighbours and their distance in Å.
Space group I4/m (No. 87)
Unique sites:
Pr 0.0793 0.3813 0.0000 x8  4 Ho 3.52-3.58, 3 Tm 3.58-3.62, 5 Pr 3.62-3.68
Ho 0.1525 0.7719 0.0000 x8  4 Pr 3.52-3.58, 6 Tm 3.53-3.64, 2 Ho 3.60
Tm 0.0000 0.0000 0.0000 x2  8 Tm 3.53, 4 Ho 3.54
Tm 0.0391 0.1880 0.5000 x8  4 Tm 3.50-3.53, 5 Ho 3.53-3.64, 3 Pr 3.58-3.62

Computed properties:
Total DFT energy (no corrections), eV per atom: -4.5723
Calculated formation energy, eV per atom: 0.03

Entry 4:
# Pm4Y9Ho11

A relaxed Pm4Y9Ho11 crystal (PBE, Alexandria).

Cell: 20.4881 21.2486 3.5376 Å, 90.00 90.00 90.00°
Last column: nearest neighbours and their distance in Å.
Space group Cmmm (No. 65)
Unique sites:
Pm 0.1346 0.0868 0.0000 x8  2 Y 3.32-3.43, 6 Ho 3.46-3.62, 3 Pm 3.54-3.69
Y 0.0000 0.0000 0.0000 x2  4 Pm 3.32, 2 Y 3.54
Y 0.1220 0.4158 0.0000 x8  4 Y 3.54-3.58, 8 Ho 3.55-3.59
Y 0.1236 0.2479 0.0000 x8  1 Pm 3.43, 3 Y 3.54-3.57, 8 Ho 3.56-3.62
Ho 0.0000 0.1589 0.5000 x4  3 Ho 3.54-3.67, 4 Pm 3.62, 6 Y 3.62-3.81
Ho 0.0000 0.3316 0.5000 x4  4 Ho 3.54-3.67, 8 Y 3.55-3.56
Ho 0.0000 0.5000 0.5000 x2  4 Ho 3.54-3.58, 8 Y 3.55
Ho 0.2441 0.5000 0.5000 x4  4 Ho 3.54-3.58, 4 Y 3.55, 4 Pm 3.56
Ho 0.2472 0.3318 0.5000 x8  2 Pm 3.46, 4 Ho 3.48-3.58, 6 Y 3.57-3.61

Computed properties:
Total DFT energy (no corrections), eV per atom: -5.2598
Calculated formation energy, eV per atom: 0.05

Q: Which formula does entry 3 have?
A: Pr4Ho4Tm5